Record 1
VASP calculation (GGA-PBE) on crystalline Gd2C at its relaxed geometry.

total magnetic moment = 0.023 μB per atom
distance to the lowest polymorph of the same formula = 0 meV per atom
DFT total energy = -31.656 eV for the cell shown

Cell and atoms, written as POSCAR:
```
Gd2C
1.0
3.788 2.187 6.185
-3.788 2.187 6.185
0.000 -4.373 6.185
C Gd
2 4
direct
0.250 0.250 0.250 C
0.500 0.500 0.500 C
0.875 0.375 0.375 Gd
0.375 0.875 0.375 Gd
0.375 0.375 0.375 Gd
0.375 0.375 0.875 Gd
```

Record 2
VASP calculation (GGA-PBE) on crystalline HfSiNiPt at its relaxed geometry.

total magnetic moment = 0.000 μB per atom
distance to the lowest polymorph of the same formula = 0 meV per atom
DFT total energy = -29.522 eV for the cell shown

Cell and atoms, written as POSCAR:
```
HfSiNiPt
1.0
-1.743 -0.953 3.929
-4.371 0.002 0.528
-2.148 -3.798 0.593
Hf Ni Pt Si
1 1 1 1
direct
0.500 0.500 0.500 Hf
0.750 0.750 0.750 Ni
0.250 0.250 0.250 Pt
0.000 0.000 0.000 Si
```

Record 3
VASP calculation (GGA-PBE) on crystalline TlCu2SeS at its relaxed geometry.

DFT total energy = -18.687 eV for the cell shown

Cell and atoms, written as POSCAR:
```
TlCu2SeS
1.0
-4.187 -5.841 1.901
-0.925 -4.370 5.942
0.651 6.775 -2.990
Cu S Se Tl
2 1 1 1
direct
0.745 0.245 0.500 Cu
0.245 0.745 0.500 Cu
0.648 0.648 0.000 S
0.359 0.359 0.000 Se
0.002 0.002 0.000 Tl
```

Record 4
VASP calculation (GGA-PBE) on crystalline KHg3Te4Os at its relaxed geometry.

total magnetic moment = 0.001 μB per atom
DFT total energy = -25.545 eV for the cell shown

Cell and atoms, written as POSCAR:
```
KHg3Te4Os
1.0
-1.185 -0.870 7.627
-0.125 -7.714 -0.900
7.676 -0.260 1.163
Hg K Os Te
3 1 1 4
direct
0.500 0.500 0.000 Hg
0.500 0.000 0.500 Hg
0.000 0.500 0.500 Hg
0.000 0.000 0.000 K
0.500 0.500 0.500 Os
0.315 0.315 0.315 Te
0.685 0.685 0.315 Te
0.685 0.315 0.685 Te
0.315 0.685 0.685 Te
```

Record 5
VASP calculation (GGA-PBE) on crystalline TbTlTe3Au at its relaxed geometry.

total magnetic moment = 0.001 μB per atom
distance to the lowest polymorph of the same formula = 0 meV per atom
DFT total energy = -47.715 eV for the cell shown

Cell and atoms, written as POSCAR:
```
TbTlTe3Au
1.0
-5.623 5.633 -1.890
3.602 -4.880 5.490
7.357 8.157 2.423
Au Tb Te Tl
2 2 6 2
direct
0.532 0.468 0.250 Au
0.468 0.532 0.750 Au
0.000 0.000 0.000 Tb
0.000 0.000 0.500 Tb
0.639 0.361 0.053 Te
0.916 0.084 0.250 Te
0.639 0.361 0.447 Te
0.361 0.639 0.553 Te
0.084 0.916 0.750 Te
0.361 0.639 0.947 Te
0.237 0.763 0.250 Tl
0.763 0.237 0.750 Tl
```

Record 6
VASP calculation (GGA-PBE) on crystalline Hf2AlZnCo4 at its relaxed geometry.

total magnetic moment = 0.173 μB per atom
DFT total energy = -55.863 eV for the cell shown

Cell and atoms, written as POSCAR:
```
Hf2AlZnCo4
1.0
-1.778 -1.477 -3.366
-1.853 -0.373 3.619
-3.586 6.886 -1.127
Al Co Hf Zn
1 4 2 1
direct
0.000 0.000 0.000 Al
0.667 0.333 0.094 Co
0.667 0.333 0.408 Co
0.333 0.667 0.592 Co
0.333 0.667 0.906 Co
0.333 0.667 0.250 Hf
0.667 0.333 0.750 Hf
0.000 0.000 0.500 Zn
```

Record 7
VASP calculation (GGA-PBE) on crystalline Tb2NdZn3AgAu2 at its relaxed geometry.

total magnetic moment = 0.001 μB per atom
ΔH_f (0 K) = -563 meV/atom
DFT total energy = -32.243 eV for the cell shown

Cell and atoms, written as POSCAR:
```
Tb2NdZn3AgAu2
1.0
3.888 0.000 0.000
0.000 6.617 3.790
0.000 -6.617 3.790
Ag Au Nd Tb Zn
1 2 1 2 3
direct
0.000 0.004 0.004 Ag
0.500 0.668 0.328 Au
0.500 0.328 0.668 Au
0.000 0.592 0.592 Nd
0.000 0.000 0.407 Tb
0.000 0.407 0.000 Tb
0.500 0.744 0.003 Zn
0.500 0.254 0.254 Zn
0.500 0.003 0.744 Zn
```

Record 8
VASP calculation (GGA-PBE) on crystalline AuCl3 at its relaxed geometry.

DFT total energy = -18.317 eV for the cell shown

Cell and atoms, written as POSCAR:
```
AuCl3
1.0
3.142 1.814 5.745
-3.142 1.814 5.745
0.000 -3.628 5.745
Au Cl
2 6
direct
0.000 0.000 0.000 Au
0.500 0.500 0.500 Au
0.397 0.750 0.102 Cl
0.898 0.603 0.250 Cl
0.750 0.102 0.397 Cl
0.250 0.898 0.603 Cl
0.102 0.397 0.750 Cl
0.603 0.250 0.898 Cl
```